1.
Below is a geometry-optimized Sc2GaRh4 structure, with properties calculated at the PBE level.

Structure (CIF):
```
data_Sc2GaRh4
_chemical_formula_sum 'Sc4 Ga2 Rh8'
_cell_length_a 4.5044
_cell_length_b 4.5044
_cell_length_c 13.0256
_cell_angle_alpha 90.00
_cell_angle_beta 90.00
_cell_angle_gamma 90.00
_symmetry_space_group_name_H-M 'I 4/m m m'
_symmetry_Int_Tables_number 139
_symmetry_space_group_name_Hall '-I 4 2'
loop_
_atom_site_label
_atom_site_type_symbol
_atom_site_fract_x
_atom_site_fract_y
_atom_site_fract_z
Sc1 Sc 0.0000 0.0000 0.1331
Ga1 Ga 0.0000 0.0000 0.5000
Rh1 Rh 0.0000 0.0000 0.3150
Rh2 Rh 0.0000 0.5000 0.0000
```

Values from the calculation:
The value obtained for the volume is 18.9 Å³ per atom. The value obtained for the formation energy is -1.06 eV/f.u.


2.
Below is a geometry-optimized RbLiYB2 structure, with properties calculated at the PBE level.

Structure (CIF):
```
data_RbLiYB2
_chemical_formula_sum 'Rb1 Li1 Y1 B2'
_cell_length_a 4.4388
_cell_length_b 4.4388
_cell_length_c 4.7464
_cell_angle_alpha 90.00
_cell_angle_beta 90.00
_cell_angle_gamma 90.00
_symmetry_space_group_name_H-M 'P 4/m m m'
_symmetry_Int_Tables_number 123
_symmetry_space_group_name_Hall '-P 4 2'
loop_
_atom_site_label
_atom_site_type_symbol
_atom_site_fract_x
_atom_site_fract_y
_atom_site_fract_z
Rb1 Rb 0.0000 0.0000 0.0000
Li1 Li 0.5000 0.5000 0.5000
Y1 Y 0.5000 0.5000 0.0000
B1 B 0.0000 0.5000 0.5000
```

Values from the calculation:
The value obtained for the volume is 18.7 Å³ per atom. The value obtained for the formation energy is 7.16 eV/f.u.


3.
Below is a geometry-optimized Ca2HgTe structure, with properties calculated at the PBE level.

Structure (CIF):
```
data_Ca2HgTe
_chemical_formula_sum 'Ca4 Hg2 Te2'
_cell_length_a 7.6979
_cell_length_b 4.4320
_cell_length_c 7.9959
_cell_angle_alpha 90.00
_cell_angle_beta 108.61
_cell_angle_gamma 90.00
_symmetry_space_group_name_H-M 'C 1 2/m 1'
_symmetry_Int_Tables_number 12
loop_
_symmetry_equiv_pos_as_xyz
'x,y,z'
'-x,-y,-z'
'-x,y,-z'
'x,-y,z'
'x+1/2,y+1/2,z'
'-x+1/2,-y+1/2,-z'
'-x+1/2,y+1/2,-z'
'x+1/2,-y+1/2,z'
loop_
_atom_site_label
_atom_site_type_symbol
_atom_site_fract_x
_atom_site_fract_y
_atom_site_fract_z
Ca1 Ca 0.2484 0.0000 0.2450
Hg1 Hg 0.0000 0.0000 0.5000
Te1 Te 0.0000 0.5000 0.0000
```

Values from the calculation:
The value obtained for the volume is 32.3 Å³ per atom. Its uncorrected energy is -11.10 eV per formula unit.


4.
Below is a geometry-optimized Tl7Bi structure, with properties calculated at the PBE level.

Structure (CIF):
```
data_Tl7Bi
_chemical_formula_sum 'Tl14 Bi2'
_cell_length_a 5.2659
_cell_length_b 5.2659
_cell_length_c 17.9455
_cell_angle_alpha 90.00
_cell_angle_beta 90.00
_cell_angle_gamma 90.00
_symmetry_space_group_name_H-M 'I 4/m m m'
_symmetry_Int_Tables_number 139
_symmetry_space_group_name_Hall '-I 4 2'
loop_
_atom_site_label
_atom_site_type_symbol
_atom_site_fract_x
_atom_site_fract_y
_atom_site_fract_z
Tl1 Tl 0.0000 0.0000 0.0000
Tl2 Tl 0.0000 0.0000 0.2462
Tl3 Tl 0.0000 0.5000 0.1247
Bi1 Bi 0.0000 0.0000 0.5000
```

Values from the calculation:
The value obtained for the volume is 31.1 Å³ per atom. The value obtained for the formation energy is -0.17 eV/f.u.


5.
Below is a geometry-optimized V6GaGe2 structure, with properties calculated at the PBE level.

Structure (CIF):
```
data_V6GaGe2
_chemical_formula_sum 'V24 Ga4 Ge8'
_cell_length_a 7.5467
_cell_length_b 7.7781
_cell_length_c 8.8696
_cell_angle_alpha 90.00
_cell_angle_beta 90.00
_cell_angle_gamma 90.00
_symmetry_space_group_name_H-M 'I m m m'
_symmetry_Int_Tables_number 71
_symmetry_space_group_name_Hall '-I 2 2'
loop_
_atom_site_label
_atom_site_type_symbol
_atom_site_fract_x
_atom_site_fract_y
_atom_site_fract_z
V1 V 0.0000 0.1971 0.2389
V2 V 0.1974 0.2890 0.0000
V3 V 0.2341 0.5000 0.3227
Ga1 Ga 0.0000 0.0000 0.0000
Ga2 Ga 0.0000 0.0000 0.5000
Ge1 Ge 0.0000 0.3394 0.5000
Ge2 Ge 0.0000 0.5000 0.1381
```

Values from the calculation:
The value obtained for the volume is 14.5 Å³ per atom. The value obtained for the formation energy is -0.83 eV/f.u.


6.
Below is a geometry-optimized Ca2LaDyTl4 structure, with properties calculated at the PBE level.

Structure (CIF):
```
data_Ca2LaDyTl4
_chemical_formula_sum 'Ca6 La3 Dy3 Tl12'
_cell_length_a 5.4979
_cell_length_b 5.4979
_cell_length_c 27.0546
_cell_angle_alpha 90.00
_cell_angle_beta 90.00
_cell_angle_gamma 120.00
_symmetry_space_group_name_H-M 'R -3 m'
_symmetry_Int_Tables_number 166
_symmetry_space_group_name_Hall '-R 3 2"'
loop_
_atom_site_label
_atom_site_type_symbol
_atom_site_fract_x
_atom_site_fract_y
_atom_site_fract_z
Ca1 Ca 0.0000 0.0000 0.2491
La1 La 0.0000 0.0000 0.0000
Dy1 Dy 0.0000 0.0000 0.5000
Tl1 Tl 0.0000 0.0000 0.1270
Tl2 Tl 0.0000 0.0000 0.3779
```

Values from the calculation:
The value obtained for the volume is 29.5 Å³ per atom. The value obtained for the formation energy is -3.17 eV/f.u.


7.
Below is a geometry-optimized MnCoNiH3 structure, with properties calculated at the PBE level.

Structure (CIF):
```
data_MnCoNiH3
_chemical_formula_sum 'Mn2 Co2 Ni2 H6'
_cell_length_a 5.5609
_cell_length_b 2.6364
_cell_length_c 6.0377
_cell_angle_alpha 90.00
_cell_angle_beta 104.25
_cell_angle_gamma 90.00
_symmetry_space_group_name_H-M 'P 1 21/m 1'
_symmetry_Int_Tables_number 11
loop_
_symmetry_equiv_pos_as_xyz
'x,y,z'
'-x,-y,-z'
'-x,y+1/2,-z'
'x,-y+1/2,z'
loop_
_atom_site_label
_atom_site_type_symbol
_atom_site_fract_x
_atom_site_fract_y
_atom_site_fract_z
Mn1 Mn 0.0780 0.2500 0.2920
Co1 Co 0.3860 0.7500 0.6255
Ni1 Ni 0.3027 0.2500 0.9612
H1 H 0.1613 0.7500 0.0384
H2 H 0.1860 0.2500 0.6568
H3 H 0.3971 0.7500 0.3555
```

Values from the calculation:
The value obtained for the volume is 7.1 Å³ per atom. Its uncorrected energy is -31.70 eV per formula unit.


8.
Below is a geometry-optimized Tb6Cu2Ag structure, with properties calculated at the PBE level.

Structure (CIF):
```
data_Tb6Cu2Ag
_chemical_formula_sum 'Tb24 Cu8 Ag4'
_cell_length_a 9.5767
_cell_length_b 9.6641
_cell_length_c 10.0870
_cell_angle_alpha 90.00
_cell_angle_beta 90.00
_cell_angle_gamma 90.00
_symmetry_space_group_name_H-M 'I m m m'
_symmetry_Int_Tables_number 71
_symmetry_space_group_name_Hall '-I 2 2'
loop_
_atom_site_label
_atom_site_type_symbol
_atom_site_fract_x
_atom_site_fract_y
_atom_site_fract_z
Tb1 Tb 0.0000 0.1897 0.2453
Tb2 Tb 0.1957 0.5000 0.1767
Tb3 Tb 0.2235 0.3197 0.5000
Cu1 Cu 0.0000 0.3506 0.0000
Cu2 Cu 0.0000 0.5000 0.3806
Ag1 Ag 0.0000 0.0000 0.0000
Ag2 Ag 0.0000 0.0000 0.5000
```

Values from the calculation:
The value obtained for the volume is 25.9 Å³ per atom. The value obtained for the formation energy is -1.39 eV/f.u.